Record 1
Computed, not measured: a relaxed CrNiW crystal at the PBE level of DFT.

Unit cell a=2.559 b=3.784 c=8.147 alpha=90.00 beta=90.00 gamma=90.00
Space group Imm2 (No. 44)
One atom of each set of equivalent atoms:
Cr (0.000, 0.000, 0.000) (multiplicity 2)
Ni (0.000, 0.000, 0.655) (multiplicity 2)
W (0.000, 0.000, 0.327) (multiplicity 2)

E_form (meV/atom): 232
Distance to the lowest polymorph of the same formula (kJ per mole of atoms): 9.8

Record 2
Computed, not measured: a relaxed RuWSeBr2 crystal at the PBE level of DFT.

Unit cell a=4.996 b=4.996 c=4.878 alpha=90.00 beta=90.00 gamma=90.00
Space group P4/mmm (No. 123)
One atom of each set of equivalent atoms:
Ru (0.000, 0.000, 0.000) (multiplicity 1)
W (0.500, 0.500, 0.500) (multiplicity 1)
Se (0.000, 0.000, 0.500) (multiplicity 1)
Br (0.000, 0.500, 0.000) (multiplicity 2)

ΔE_f (raw) (eV per formula unit): 6.5
Distance to the lowest polymorph of the same formula (kJ per mole of atoms): 15.1

Record 3
Computed, not measured: a relaxed KMn2Re crystal at the PBE level of DFT.

Unit cell a=3.074 b=4.477 c=10.017 alpha=90.00 beta=90.00 gamma=90.00
Space group Cmm2 (No. 35)
One atom of each set of equivalent atoms:
K (0.000, 0.000, 0.000) (multiplicity 2)
Mn (0.000, 0.000, 0.493) (multiplicity 2)
Mn (0.000, 0.500, 0.690) (multiplicity 2)
Re (0.000, 0.500, 0.300) (multiplicity 2)

E_form (meV/atom): 870
Distance to the lowest polymorph of the same formula (kJ per mole of atoms): 19.3

Record 4
Computed, not measured: a relaxed ScIn5 crystal at the PBE level of DFT.

Unit cell a=5.9687 b=5.9687 c=4.9611 alpha=90.00 beta=90.00 gamma=120.00
Space group P-62m (No. 189)
One atom of each set of equivalent atoms:
Sc (0.0000, 0.0000, 0.0000) (multiplicity 1)
In (0.0000, 0.6776, 0.5000) (multiplicity 3)
In (0.3333, 0.6667, 0.0000) (multiplicity 2)

E_form (meV/atom): -34
Distance to the lowest polymorph of the same formula (kJ per mole of atoms): 8.7

Record 5
Computed, not measured: a relaxed Hf3ZrSc6 crystal at the PBE level of DFT.

Unit cell a=9.747 b=16.939 c=5.719 alpha=90.00 beta=90.00 gamma=90.00
Space group Cmc2_1 (No. 36)
One atom of each set of equivalent atoms:
Hf (0.000, 0.117, 0.000) (multiplicity 4)
Hf (0.179, 0.383, 0.594) (multiplicity 8)
Zr (0.000, 0.302, 0.923) (multiplicity 4)
Sc (0.000, 0.242, 0.401) (multiplicity 4)
Sc (0.000, 0.461, 0.185) (multiplicity 4)
Sc (0.166, 0.038, 0.498) (multiplicity 8)
Sc (0.233, 0.204, 0.669) (multiplicity 8)

E_form (meV/atom): 162
Distance to the lowest polymorph of the same formula (kJ per mole of atoms): 12.1

Record 6
Computed, not measured: a relaxed Tb4Er3Tl2 crystal at the PBE level of DFT.

Unit cell a=12.095 b=5.389 c=10.169 alpha=90.00 beta=125.98 gamma=90.00
Space group C2/m (No. 12)
One atom of each set of equivalent atoms:
Tb (0.099, 0.000, 0.428) (multiplicity 4)
Tb (0.233, 0.500, 0.083) (multiplicity 4)
Er (0.000, 0.000, 0.000) (multiplicity 2)
Er (0.146, 0.500, 0.678) (multiplicity 4)
Tl (0.083, 0.500, 0.253) (multiplicity 4)

E_form (meV/atom): -154

Record 7
Computed, not measured: a relaxed Ac2Ga5Ni4 crystal at the PBE level of DFT.

Unit cell a=5.497 b=9.743 c=15.204 alpha=90.00 beta=90.00 gamma=90.00
Space group Fmmm (No. 69)
One atom of each set of equivalent atoms:
Ac (0.000, 0.000, 0.138) (multiplicity 8)
Ga (0.000, 0.000, 0.500) (multiplicity 4)
Ga (0.250, 0.250, 0.000) (multiplicity 8)
Ga (0.250, 0.250, 0.250) (multiplicity 8)
Ni (0.000, 0.156, 0.370) (multiplicity 16)

E_form (meV/atom): -476
Distance to the lowest polymorph of the same formula (kJ per mole of atoms): 0.0

Record 8
Computed, not measured: a relaxed Ac2CuAu crystal at the PBE level of DFT.

Unit cell a=4.3904 b=4.3904 c=23.4280 alpha=90.00 beta=90.00 gamma=120.00
Space group R3m (No. 160, hexagonal axes)
One atom of each set of equivalent atoms:
Ac (0.0000, 0.0000, 0.0000) (multiplicity 3)
Ac (0.0000, 0.0000, 0.1682) (multiplicity 3)
Cu (0.0000, 0.0000, 0.4174) (multiplicity 3)
Au (0.0000, 0.0000, 0.5837) (multiplicity 3)

E_form (meV/atom): -337

Record 9
Computed, not measured: a relaxed ScReSe2 crystal at the PBE level of DFT.

Unit cell a=6.607 b=6.607 c=6.607 alpha=90.00 beta=90.00 gamma=90.00
Space group F-43m (No. 216)
One atom of each set of equivalent atoms:
Sc (0.000, 0.000, 0.000) (multiplicity 4)
Re (0.250, 0.250, 0.750) (multiplicity 4)
Se (0.000, 0.000, 0.500) (multiplicity 4)
Se (0.250, 0.250, 0.250) (multiplicity 4)

ΔE_f (raw) (eV per formula unit): 1.3
Distance to the lowest polymorph of the same formula (kJ per mole of atoms): 79.3

Record 10
Computed, not measured: a relaxed Dy2Be3Cu12Ni crystal at the PBE level of DFT.

Unit cell a=7.6120 b=7.6120 c=16.6204 alpha=90.00 beta=90.00 gamma=120.00
Space group R-3m (No. 166, hexagonal axes)
One atom of each set of equivalent atoms:
Dy (0.0000, 0.0000, 0.1063) (multiplicity 6)
Be (0.0000, 0.5000, 0.0000) (multiplicity 9)
Cu (0.0012, 0.5006, 0.8754) (multiplicity 18)
Cu (0.0399, 0.5199, 0.3571) (multiplicity 18)
Ni (0.0000, 0.0000, 0.5000) (multiplicity 3)

E_form (meV/atom): 344

Record 11
Computed, not measured: a relaxed TbGdCuHg crystal at the PBE level of DFT.

Unit cell a=7.282 b=7.282 c=7.282 alpha=90.00 beta=90.00 gamma=90.00
Space group F-43m (No. 216)
One atom of each set of equivalent atoms:
Tb (0.000, 0.000, 0.000) (multiplicity 4)
Gd (0.000, 0.000, 0.500) (multiplicity 4)
Cu (0.250, 0.250, 0.750) (multiplicity 4)
Hg (0.250, 0.250, 0.250) (multiplicity 4)

E_form (meV/atom): -322

Record 12
Computed, not measured: a relaxed NaNd2Al crystal at the PBE level of DFT.

Unit cell a=5.374 b=5.374 c=3.972 alpha=90.00 beta=90.00 gamma=90.00
Space group P4/mmm (No. 123)
One atom of each set of equivalent atoms:
Na (0.000, 0.000, 0.000) (multiplicity 1)
Nd (0.000, 0.500, 0.500) (multiplicity 2)
Al (0.500, 0.500, 0.000) (multiplicity 1)

E_form (meV/atom): -16
Distance to the lowest polymorph of the same formula (kJ per mole of atoms): 6.7